VASP calculation (PBE) on a relaxed LaCe3Nd4Te8 crystal.

Uncorrected formation energy = -22.85 eV/f.u.
DFT total energy = -269.4 eV per cell

a = 8.9984 Å, b = 8.9984 Å, c = 22.1664 Å
α = 90.00°, β = 90.00°, γ = 120.00°
Space group R-3m (No. 166, hexagonal axes)
Inequivalent atoms, fractional coordinates:
1 La 0.0000 0.0000 0.0000 [3 per cell]
2 Ce 0.0000 0.5000 0.0000 [9 per cell]
3 Nd 0.0000 0.0000 0.5000 [3 per cell]
4 Nd 0.0000 0.5000 0.5000 [9 per cell]
5 Te 0.0000 0.0000 0.2502 [6 per cell]
6 Te 0.0025 0.5012 0.2496 [18 per cell]

***

VASP calculation (PBE) on a relaxed La2CeNd3Te6 crystal.

Uncorrected formation energy = -17.71 eV/f.u.
DFT total energy = -133.3 eV per cell

a = 19.7033 Å, b = 4.5129 Å, c = 9.0893 Å
α = 90.00°, β = 103.07°, γ = 90.00°
Space group C2/m (No. 12)
Inequivalent atoms, fractional coordinates:
1 La 0.1657 0.0000 0.3323 [4 per cell]
2 Ce 0.0000 0.5000 0.0000 [2 per cell]
3 Nd 0.0000 0.5000 0.5000 [2 per cell]
4 Nd 0.1684 0.0000 0.8353 [4 per cell]
5 Te 0.0022 0.0000 0.7512 [4 per cell]
6 Te 0.1657 0.5000 0.0800 [4 per cell]
7 Te 0.1660 0.5000 0.5865 [4 per cell]

***

VASP calculation (PBE) on a relaxed La3CeNd4Te8 crystal.

Uncorrected formation energy = -23.72 eV/f.u.
DFT total energy = -265.9 eV per cell

a = 9.0858 Å, b = 9.0858 Å, c = 22.0898 Å
α = 90.00°, β = 90.00°, γ = 120.00°
Space group R-3m (No. 166, hexagonal axes)
Inequivalent atoms, fractional coordinates:
1 La 0.0000 0.5000 0.0000 [9 per cell]
2 Ce 0.0000 0.0000 0.0000 [3 per cell]
3 Nd 0.0000 0.0000 0.5000 [3 per cell]
4 Nd 0.0000 0.5000 0.5000 [9 per cell]
5 Te 0.0000 0.0000 0.2484 [6 per cell]
6 Te 0.0027 0.5013 0.7509 [18 per cell]

***

VASP calculation (PBE) on a relaxed La4CeNd3Te8 crystal.

Uncorrected formation energy = -24.06 eV/f.u.
DFT total energy = -267.4 eV per cell

a = 9.0895 Å, b = 9.0895 Å, c = 22.2233 Å
α = 90.00°, β = 90.00°, γ = 120.00°
Space group R-3m (No. 166, hexagonal axes)
Inequivalent atoms, fractional coordinates:
1 La 0.0000 0.0000 0.0000 [3 per cell]
2 La 0.0000 0.5000 0.0000 [9 per cell]
3 Ce 0.0000 0.0000 0.5000 [3 per cell]
4 Nd 0.0000 0.5000 0.5000 [9 per cell]
5 Te 0.0000 0.0000 0.2484 [6 per cell]
6 Te 0.0006 0.5003 0.2482 [18 per cell]

***

> Look up the DFT total energy of the first one.

-269.4 eV per cell